Entry 1:
{"formula": "Re2RhBr", "functional": "GGA-PBE", "state": "optimized geometry", "relative_energy_kj_per_mol_atoms": 29.6, "total_magnetization_mub_per_fu": 0.0, "e_form_raw_ev_per_atom": 0.73, "dft_energy_ev_per_atom": -7.753, "cell": [[3.787, 0.000, 0.000], [0.000, 2.844, -0.001], [0.000, 0.000, 6.600]], "species": ["Re", "Re", "Rh", "Br"], "frac_coords": [[0.000, 0.750, 0.064], [0.000, 0.750, 0.436], [0.500, 0.250, 0.250], [0.500, 0.750, 0.750]]}

=====

Entry 2:
{"formula": "Re2RhBr", "functional": "GGA-PBE", "state": "optimized geometry", "relative_energy_kj_per_mol_atoms": 54.6, "total_magnetization_mub_per_fu": 0.0, "e_form_raw_ev_per_atom": 0.99, "dft_energy_ev_per_atom": -7.494, "cell": [[2.779, -0.009, 0.000], [-1.366, 2.420, 0.000], [0.000, 0.000, 9.886]], "species": ["Re", "Re", "Br", "Rh"], "frac_coords": [[0.000, 0.000, 0.479], [0.000, 0.000, 0.021], [0.500, 0.500, 0.750], [0.500, 0.500, 0.250]]}

=====

Entry 3:
{"formula": "ReRhBr", "functional": "GGA-PBE", "state": "optimized geometry", "relative_energy_kj_per_mol_atoms": 24.0, "total_magnetization_mub_per_fu": 0.1, "e_form_raw_ev_per_atom": 0.83, "dft_energy_ev_per_atom": -6.332, "cell": [[7.496, 0.014, -0.008], [6.654, 2.778, 0.002], [0.842, -1.271, 2.455]], "species": ["Rh", "Br", "Re"], "frac_coords": [[0.677, 0.677, 0.323], [0.997, 0.997, 0.003], [0.326, 0.326, 0.674]]}

=====

Entry 4:
{"formula": "Re2RhBr", "functional": "GGA-PBE", "state": "optimized geometry", "relative_energy_kj_per_mol_atoms": 29.5, "total_magnetization_mub_per_fu": 0.0, "e_form_raw_ev_per_atom": 0.73, "dft_energy_ev_per_atom": -7.754, "cell": [[-0.071, -1.335, 2.482], [-0.359, -1.518, -2.348], [9.354, -1.433, -0.502]], "species": ["Rh", "Br", "Re", "Re"], "frac_coords": [[0.000, 0.000, 0.483], [0.500, 0.500, 0.745], [0.000, 0.000, 0.022], [0.500, 0.500, 0.249]]}

=====

Entry 5:
{"formula": "Re2RhBr", "functional": "GGA-PBE", "state": "optimized geometry", "relative_energy_kj_per_mol_atoms": 30.9, "total_magnetization_mub_per_fu": 0.0, "e_form_raw_ev_per_atom": 0.74, "dft_energy_ev_per_atom": -7.739, "cell": [[8.846, -0.011, -0.006], [8.379, 2.835, -0.006], [8.379, 1.374, 2.480]], "species": ["Re", "Re", "Rh", "Br"], "frac_coords": [[0.501, 0.501, 0.501], [0.999, 0.999, 0.999], [0.250, 0.250, 0.250], [0.750, 0.750, 0.750]]}

=====

Entry 6:
{"formula": "Re2RhBr", "functional": "GGA-PBE", "state": "optimized geometry", "relative_energy_kj_per_mol_atoms": 51.7, "total_magnetization_mub_per_fu": 0.0, "e_form_raw_ev_per_atom": 0.96, "dft_energy_ev_per_atom": -7.524, "cell": [[5.486, 0.000, 0.002], [2.879, 4.669, -0.002], [-3.660, -3.270, 2.450]], "species": ["Br", "Re", "Re", "Rh"], "frac_coords": [[0.750, 0.250, 0.500], [0.980, 0.980, 0.000], [0.520, 0.520, 0.000], [0.250, 0.750, 0.500]]}

=====

Entry 7:
{"formula": "Re4RhBr", "functional": "GGA-PBE", "state": "optimized geometry", "total_magnetization_mub_per_fu": 0.0, "e_form_raw_ev_per_atom": 1.13, "dft_energy_ev_per_atom": -8.672, "cell": [[0.000, 3.700, 3.700], [3.700, 0.000, 3.700], [3.700, 3.700, 0.000]], "species": ["Re", "Re", "Re", "Re", "Rh", "Br"], "frac_coords": [[0.376, 0.376, 0.872], [0.872, 0.376, 0.376], [0.376, 0.376, 0.376], [0.376, 0.872, 0.376], [0.750, 0.750, 0.750], [0.000, 0.000, 0.000]]}

=====

Entry 8:
{"formula": "Re2Rh2Br", "functional": "GGA-PBE", "state": "optimized geometry", "relative_energy_kj_per_mol_atoms": 36.6, "total_magnetization_mub_per_fu": 0.0, "e_form_raw_ev_per_atom": 0.89, "dft_energy_ev_per_atom": -7.368, "cell": [[4.630, 0.000, 0.000], [0.000, 4.630, 0.000], [2.315, 2.315, 4.424]], "species": ["Re", "Re", "Br", "Rh", "Rh"], "frac_coords": [[0.369, 0.369, 0.261], [0.631, 0.631, 0.739], [0.000, 0.000, 0.000], [0.250, 0.750, 0.500], [0.750, 0.250, 0.500]]}

=====

Entry 9:
{"formula": "Re2RhBr", "functional": "GGA-PBE", "state": "optimized geometry", "relative_energy_kj_per_mol_atoms": 87.3, "total_magnetization_mub_per_fu": 0.0, "e_form_raw_ev_per_atom": 1.32, "dft_energy_ev_per_atom": -7.155, "cell": [[-4.381, -1.389, -0.194], [1.048, -3.035, -1.934], [0.456, -1.887, 3.207]], "species": ["Br", "Re", "Re", "Rh"], "frac_coords": [[0.500, 0.000, 0.500], [0.000, 0.500, 0.500], [0.000, 0.000, 0.000], [0.500, 0.500, 0.000]]}

=====

Entry 10:
{"formula": "Re2RhBr", "functional": "GGA-PBE", "state": "optimized geometry", "relative_energy_kj_per_mol_atoms": 51.9, "total_magnetization_mub_per_fu": 0.0, "e_form_raw_ev_per_atom": 0.96, "dft_energy_ev_per_atom": -7.521, "cell": [[-0.840, 1.942, -1.862], [1.721, -1.111, -1.936], [-5.801, -4.809, -2.397]], "species": ["Re", "Re", "Br", "Rh"], "frac_coords": [[0.000, 0.000, 0.490], [0.000, 0.000, 0.010], [0.500, 0.500, 0.750], [0.500, 0.500, 0.250]]}

=====

Entry 11:
{"formula": "ReRhBr", "functional": "GGA-PBE", "state": "optimized geometry", "relative_energy_kj_per_mol_atoms": 0.0, "total_magnetization_mub_per_fu": 0.0, "e_form_raw_ev_per_atom": 0.58, "dft_energy_ev_per_atom": -6.580, "cell": [[2.972, 0.000, 0.000], [-1.486, 2.574, 0.000], [0.000, 0.000, 6.453]], "species": ["Br", "Rh", "Re"], "frac_coords": [[0.000, 0.000, 0.014], [0.333, 0.667, 0.647], [0.667, 0.333, 0.340]]}

=====

Entry 12:
{"formula": "Re2RhBr", "functional": "GGA-PBE", "state": "optimized geometry", "relative_energy_kj_per_mol_atoms": 10.2, "total_magnetization_mub_per_fu": 0.0, "e_form_raw_ev_per_atom": 0.53, "dft_energy_ev_per_atom": -7.954, "cell": [[2.920, 0.000, 0.000], [0.000, 2.920, 0.000], [0.000, 0.000, 7.581]], "species": ["Br", "Re", "Re", "Rh"], "frac_coords": [[0.500, 0.500, 0.761], [0.500, 0.500, 0.240], [0.000, 0.000, 0.018], [0.000, 0.000, 0.481]]}